No. 1
Compound: Dy5Er3Th3
Source: the Alexandria database
Functional: PBE
Structure: optimized geometry

Unit cell a=9.784 b=9.784 c=5.350 alpha=90.00 beta=90.00 gamma=120.00
Positions (direct):
Dy1 0.000 0.739 0.000
Dy2 0.261 0.261 0.000
Dy3 0.333 0.667 0.000
Dy4 0.667 0.333 0.000
Dy5 0.739 0.000 0.000
Er1 0.000 0.556 0.500
Er2 0.444 0.444 0.500
Er3 0.556 0.000 0.500
Th1 0.000 0.368 0.000
Th2 0.368 0.000 0.000
Th3 0.632 0.632 0.000

## Properties
- D(E_F): 17.9 states/eV/cell

No. 2
Compound: B5C7
Source: the Alexandria database
Functional: PBE
Structure: optimized geometry

Unit cell a=2.449 b=2.537 c=12.604 alpha=90.00 beta=90.00 gamma=90.00
Positions (direct):
B1 0.000 0.000 0.000
B2 0.000 0.000 0.311
B3 0.000 0.500 0.410
B4 0.500 0.000 0.891
B5 0.500 0.500 0.518
C1 0.000 0.000 0.667
C2 0.000 0.500 0.079
C3 0.000 0.500 0.743
C4 0.500 0.000 0.221
C5 0.500 0.000 0.598
C6 0.500 0.500 0.152
C7 0.500 0.500 0.811

## Properties
- D(E_F): 2.1 states/eV/cell

No. 3
Compound: Sn4B2Mo
Source: the Alexandria database
Functional: PBE
Structure: optimized geometry

Unit cell a=6.759 b=6.759 c=6.759 alpha=131.88 beta=131.88 gamma=70.42
Positions (direct):
Sn1 0.000 0.500 0.500
Sn2 0.235 0.235 0.000
Sn3 0.500 0.000 0.500
Sn4 0.765 0.765 0.000
B1 0.431 0.431 0.000
B2 0.569 0.569 0.000
Mo1 0.000 0.000 0.000

## Properties
- D(E_F): 8.3 states/eV/cell

No. 4
Compound: Na8CdAu6
Source: the Alexandria database
Functional: PBE
Structure: optimized geometry

Unit cell a=7.787 b=7.787 c=7.787 alpha=65.96 beta=65.96 gamma=65.96
Positions (direct):
Na1 0.047 0.717 0.382
Na2 0.166 0.166 0.166
Na3 0.283 0.618 0.953
Na4 0.382 0.047 0.717
Na5 0.618 0.953 0.283
Na6 0.717 0.382 0.047
Na7 0.834 0.834 0.834
Na8 0.953 0.283 0.618
Cd1 0.500 0.500 0.500
Au1 0.126 0.455 0.780
Au2 0.220 0.874 0.545
Au3 0.455 0.780 0.126
Au4 0.545 0.220 0.874
Au5 0.780 0.126 0.455
Au6 0.874 0.545 0.220

## Properties
- D(E_F): 5.6 states/eV/cell

No. 5
Compound: Be2MoSe
Source: the Alexandria database
Functional: PBE
Structure: optimized geometry

Unit cell a=4.827 b=4.827 c=4.827 alpha=138.07 beta=138.07 gamma=60.79
Positions (direct):
Be1 0.000 0.000 0.000
Be2 0.750 0.250 0.500
Mo1 0.250 0.750 0.500
Se1 0.500 0.500 0.000

## Properties
- D(E_F): 2.1 states/eV/cell
- Energy relative to the elements, uncorrected: 0.20 eV/atom

No. 6
Compound: La2TcRu
Source: the Alexandria database
Functional: PBE
Structure: optimized geometry

Unit cell a=3.294 b=3.294 c=8.971 alpha=90.00 beta=90.00 gamma=96.00
Positions (direct):
La1 0.000 0.000 0.000
La2 0.500 0.500 0.388
Tc1 0.500 0.500 0.759
Ru1 0.000 0.000 0.630

## Properties
- D(E_F): 4.8 states/eV/cell

No. 7
Compound: TbYIr
Source: the Alexandria database
Functional: PBE
Structure: optimized geometry

Unit cell a=4.821 b=4.821 c=6.813 alpha=90.14 beta=90.14 gamma=90.00
Positions (direct):
Tb1 0.001 0.999 0.750
Tb2 0.999 0.001 0.250
Y1 0.499 0.501 0.250
Y2 0.501 0.499 0.750
Ir1 0.000 0.500 0.500
Ir2 0.500 0.000 0.000

## Properties
- D(E_F): 4.6 states/eV/cell

No. 8
Compound: Sr2HgIr
Source: the Alexandria database
Functional: PBE
Structure: optimized geometry

Unit cell a=3.577 b=3.892 c=7.909 alpha=90.00 beta=90.00 gamma=90.00
Positions (direct):
Sr1 0.000 0.000 0.215
Sr2 0.000 0.000 0.785
Hg1 0.500 0.500 0.500
Ir1 0.500 0.500 0.000

## Properties
- D(E_F): 2.2 states/eV/cell

no.,electronic total energy (eV/atom)
1,-4.42
2,-7.83
3,-4.91
4,-2.33
5,-5.24
6,-7.20
7,-7.33
8,-3.35